A PBEsol-optimized structure of Sn2PtBr, computed with SCAN.

The structure in extended XYZ format:
```
4
Lattice="0.0000 3.5106 3.5106 3.5106 0.0000 3.5106 3.5106 3.5106 0.0000" Properties=species:S:1:pos:R:3 pbc="T T T"
Sn 1.7553 1.7553 1.7553
Sn 5.2658 5.2658 5.2658
Pt 0.0000 0.0000 0.0000
Br 3.5106 3.5106 3.5106
```

total energy: -40.25 eV/atom
magnetic moment: 0.000 μB per formula unit
DOS at the Fermi energy: 0.594 states/eV per atom

---

A PBEsol-optimized structure of TaPt2Br, computed with SCAN.

The structure in extended XYZ format:
```
4
Lattice="4.9979 0.0000 0.0000 0.0000 4.9979 0.0000 0.0000 0.0000 2.7646" Properties=species:S:1:pos:R:3 pbc="T T T"
Ta 0.0000 0.0000 0.0000
Pt 0.0000 2.4990 1.3823
Pt 2.4990 0.0000 1.3823
Br 2.4990 2.4990 0.0000
```

total energy: -56.09 eV/atom
magnetic moment: 0.000 μB per formula unit
DOS at the Fermi energy: 0.854 states/eV per atom
relative energy among the computed polymorphs: 283.2 meV/atom

---

A PBEsol-optimized structure of TaPt2Br, computed with SCAN.

The structure in extended XYZ format:
```
4
Lattice="4.8381 -1.4813 0.0000 4.8381 1.4813 0.0000 -0.3855 0.0000 4.6585" Properties=species:S:1:pos:R:3 pbc="T T T"
Ta 0.0000 0.0000 0.0000
Pt 2.3213 0.0000 3.5615
Pt 6.9693 0.0000 1.0970
Br 4.6453 0.0000 2.3293
```

total energy: -56.37 eV/atom
magnetic moment: 0.000 μB per formula unit
DOS at the Fermi energy: 0.705 states/eV per atom
relative energy among the computed polymorphs: 0.0 meV/atom

---

A PBEsol-optimized structure of Tc2PtBr, computed with SCAN.

The structure in extended XYZ format:
```
4
Lattice="1.4019 -2.4011 0.0000 1.4019 2.4011 0.0000 0.0000 0.0000 9.2734" Properties=species:S:1:pos:R:3 pbc="T T T"
Tc 0.0000 0.0000 2.2977
Tc 0.0000 0.0000 6.9757
Pt 1.4019 0.0000 0.0000
Br 1.4019 0.0000 4.6367
```

total energy: -39.06 eV/atom
magnetic moment: 2.428 μB per formula unit
DOS at the Fermi energy: 1.063 states/eV per atom
relative energy among the computed polymorphs: 91.7 meV/atom

---

A PBEsol-optimized structure of TcPtBr2, computed with SCAN.

The structure in extended XYZ format:
```
4
Lattice="-1.4911 2.2563 6.4397 1.4911 -2.2563 6.4397 1.4911 2.2563 -6.4397" Properties=species:S:1:pos:R:3 pbc="T T T"
Tc 0.0000 0.0000 0.0000
Pt 0.0000 0.0000 6.4397
Br 1.4911 0.0000 2.0328
Br 0.0000 2.2563 4.4070
```

total energy: -35.69 eV/atom
magnetic moment: 1.554 μB per formula unit
DOS at the Fermi energy: 0.682 states/eV per atom

---

A PBEsol-optimized structure of Tc2PtBr, computed with SCAN.

The structure in extended XYZ format:
```
4
Lattice="4.5511 0.0000 0.0000 0.0000 4.5511 0.0000 0.0000 0.0000 2.8843" Properties=species:S:1:pos:R:3 pbc="T T T"
Tc 0.0000 2.2756 0.0000
Tc 2.2756 0.0000 0.0000
Pt 0.0000 0.0000 1.4421
Br 2.2756 2.2756 1.4421
```

total energy: -39.15 eV/atom
magnetic moment: 0.000 μB per formula unit
DOS at the Fermi energy: 1.138 states/eV per atom
relative energy among the computed polymorphs: 0.0 meV/atom

---

A PBEsol-optimized structure of TePtBr2, computed with SCAN.

The structure in extended XYZ format:
```
4
Lattice="1.7203 -3.0407 0.0000 1.7203 3.0407 0.0000 0.0000 0.0000 9.8574" Properties=species:S:1:pos:R:3 pbc="T T T"
Te 0.0000 0.0000 0.0000
Pt 0.0000 0.0000 4.9287
Br 1.7203 0.0000 3.1945
Br 1.7203 0.0000 6.6629
```

total energy: -36.45 eV/atom
magnetic moment: 0.000 μB per formula unit
DOS at the Fermi energy: 0.561 states/eV per atom

---

A PBEsol-optimized structure of Te2PtBr, computed with SCAN.

The structure in extended XYZ format:
```
4
Lattice="1.5513 0.8956 11.6292 -1.5513 0.8956 11.6292 0.0000 -1.7913 11.6292" Properties=species:S:1:pos:R:3 pbc="T T T"
Te 0.0000 0.0000 2.5583
Te 0.0000 0.0000 32.3292
Pt 0.0000 0.0000 0.0000
Br 0.0000 0.0000 17.4437
```

total energy: -40.89 eV/atom
magnetic moment: 0.000 μB per formula unit
DOS at the Fermi energy: 0.564 states/eV per atom

---

A PBEsol-optimized structure of TePtBr2, computed with SCAN.

The structure in extended XYZ format:
```
4
Lattice="3.3424 -1.9296 0.0000 3.3424 1.9296 0.0000 -2.2159 0.0000 7.9362" Properties=species:S:1:pos:R:3 pbc="T T T"
Te 0.0000 0.0000 0.0000
Pt 0.0127 0.0000 6.4965
Br 2.2408 0.0000 5.0361
Br 4.4562 0.0000 2.0480
```

total energy: -37.01 eV/atom
magnetic moment: 0.000 μB per formula unit

---

A PBEsol-optimized structure of Te2PtBr, computed with SCAN.

The structure in extended XYZ format:
```
4
Lattice="5.2843 0.0000 0.0000 0.0000 5.2843 0.0000 0.0000 0.0000 3.1227" Properties=species:S:1:pos:R:3 pbc="T T T"
Te 0.0000 2.6422 0.0000
Te 2.6422 0.0000 0.0000
Pt 0.0000 0.0000 1.5613
Br 2.6422 2.6422 1.5613
```

total energy: -40.59 eV/atom
magnetic moment: 0.000 μB per formula unit
DOS at the Fermi energy: 0.613 states/eV per atom

---

A PBEsol-optimized structure of Te2PtBr, computed with SCAN.

The structure in extended XYZ format:
```
4
Lattice="3.4928 -2.0145 0.0000 3.4928 2.0145 0.0000 -2.3609 0.0000 7.2460" Properties=species:S:1:pos:R:3 pbc="T T T"
Te 1.1684 0.0000 1.3184
Te 3.4564 0.0000 5.9276
Pt 3.4928 0.0000 0.0000
Br -1.1805 0.0000 3.6230
```

total energy: -41.55 eV/atom
magnetic moment: 0.000 μB per formula unit
DOS at the Fermi energy: 0.475 states/eV per atom

---

A PBEsol-optimized structure of Te2PtBr, computed with SCAN.

The structure in extended XYZ format:
```
4
Lattice="3.5363 0.0000 0.0000 0.0000 3.5363 0.0000 0.0000 0.0000 8.7854" Properties=species:S:1:pos:R:3 pbc="T T T"
Te 0.0000 0.0000 0.0000
Te 1.7681 1.7681 3.5312
Pt 1.7681 1.7681 0.9473
Br 0.0000 0.0000 6.1467
```

total energy: -41.09 eV/atom
magnetic moment: 0.000 μB per formula unit
DOS at the Fermi energy: 0.542 states/eV per atom

---

A PBEsol-optimized structure of Te2PtBr, computed with SCAN.

The structure in extended XYZ format:
```
4
Lattice="2.0369 1.1760 8.3094 -2.0369 1.1760 8.3094 0.0000 -2.3520 8.3094" Properties=species:S:1:pos:R:3 pbc="T T T"
Te 0.0000 0.0000 2.8388
Te 0.0000 0.0000 22.0894
Pt 0.0000 0.0000 12.4641
Br 0.0000 0.0000 0.0000
```

total energy: -41.46 eV/atom
magnetic moment: 0.000 μB per formula unit
DOS at the Fermi energy: 0.245 states/eV per atom

---

A PBEsol-optimized structure of Te3PtBr, computed with SCAN.

The structure in extended XYZ format:
```
5
Lattice="5.2636 0.0000 0.0000 0.0000 5.2636 0.0000 0.0000 0.0000 5.2636" Properties=species:S:1:pos:R:3 pbc="T T T"
Te 0.0000 0.0000 2.6318
Te 0.0000 2.6318 0.0000
Te 2.6318 0.0000 0.0000
Pt 0.0000 0.0000 0.0000
Br 2.6318 2.6318 2.6318
```

total energy: -39.95 eV/atom
magnetic moment: 0.003 μB per formula unit
DOS at the Fermi energy: 1.529 states/eV per atom

---

A PBEsol-optimized structure of TlPt2Br, computed with SCAN.

The structure in extended XYZ format:
```
4
Lattice="-1.9709 1.9709 4.7417 1.9709 -1.9709 4.7417 1.9709 1.9709 -4.7417" Properties=species:S:1:pos:R:3 pbc="T T T"
Tl 0.0000 0.0000 0.0000
Pt 1.9709 0.0000 2.3708
Pt 0.0000 0.0000 4.7417
Br 0.0000 1.9709 2.3708
```

total energy: -57.49 eV/atom
magnetic moment: 0.000 μB per formula unit
DOS at the Fermi energy: 0.298 states/eV per atom
relative energy among the computed polymorphs: 350.6 meV/atom

---

A PBEsol-optimized structure of TlPt2Br, computed with SCAN.

The structure in extended XYZ format:
```
4
Lattice="3.4738 0.0000 0.0000 0.0000 3.4738 0.0000 0.0000 0.0000 7.1100" Properties=species:S:1:pos:R:3 pbc="T T T"
Tl 0.0000 0.0000 0.0000
Pt 0.0000 0.0000 4.1979
Pt 1.7369 1.7369 5.0111
Br 1.7369 1.7369 2.1741
```

total energy: -57.84 eV/atom
magnetic moment: 0.000 μB per formula unit
DOS at the Fermi energy: 0.470 states/eV per atom
relative energy among the computed polymorphs: 0.0 meV/atom

---

A PBEsol-optimized structure of Tl3PtBr, computed with SCAN.

The structure in extended XYZ format:
```
5
Lattice="5.2746 0.0000 0.0000 0.0000 5.2746 0.0000 0.0000 0.0000 5.2746" Properties=species:S:1:pos:R:3 pbc="T T T"
Tl 0.0000 0.0000 2.6373
Tl 0.0000 2.6373 0.0000
Tl 2.6373 0.0000 0.0000
Pt 0.0000 0.0000 0.0000
Br 2.6373 2.6373 2.6373
```

total energy: -61.85 eV/atom
magnetic moment: 0.000 μB per formula unit
DOS at the Fermi energy: 0.068 states/eV per atom

---

A PBEsol-optimized structure of Pt2WBr, computed with SCAN.

The structure in extended XYZ format:
```
4
Lattice="2.8604 0.0000 0.0000 0.0000 4.6665 0.0000 0.0000 0.0000 4.8322" Properties=species:S:1:pos:R:3 pbc="T T T"
Pt 0.0000 0.0000 0.0000
Pt 1.4302 2.3333 0.0000
W 0.0000 2.3333 2.4161
Br 1.4302 0.0000 2.4161
```

total energy: -56.46 eV/atom
magnetic moment: 0.000 μB per formula unit
DOS at the Fermi energy: 1.170 states/eV per atom
relative energy among the computed polymorphs: 868.7 meV/atom

---

A PBEsol-optimized structure of PtWBr2, computed with SCAN.

The structure in extended XYZ format:
```
4
Lattice="-2.1041 2.1041 3.8389 2.1041 -2.1041 3.8389 2.1041 2.1041 -3.8389" Properties=species:S:1:pos:R:3 pbc="T T T"
Pt 0.0000 0.0000 0.0000
W 0.0000 0.0000 3.8389
Br 2.1041 0.0000 1.9195
Br 0.0000 2.1041 1.9195
```

total energy: -43.40 eV/atom
magnetic moment: 0.000 μB per formula unit
DOS at the Fermi energy: 0.464 states/eV per atom
relative energy among the computed polymorphs: 498.4 meV/atom

---

A PBEsol-optimized structure of PtWBr2, computed with SCAN.

The structure in extended XYZ format:
```
4
Lattice="1.5288 0.8826 8.8219 -1.5288 0.8826 8.8219 0.0000 -1.7653 8.8219" Properties=species:S:1:pos:R:3 pbc="T T T"
Pt 0.0000 0.0000 0.0000
W 0.0000 0.0000 13.2329
Br 0.0000 0.0000 6.3250
Br 0.0000 0.0000 20.1408
```

total energy: -43.90 eV/atom
magnetic moment: 0.000 μB per formula unit
DOS at the Fermi energy: 0.615 states/eV per atom
relative energy among the computed polymorphs: 0.0 meV/atom